[1]
Here is a geometry-optimized Rb2Tb2PaSe6 structure from Alexandria. Energies are from GGA-PBE.

Unit cell a=7.2797 b=7.2797 c=8.5692 alpha=98.27 beta=98.27 gamma=119.93
With the nearest neighbours (Å) after each atom.
Atoms (fractional coordinates):
Rb: 0.8320 0.1680 0.0000  6 Se 3.50-3.51
Rb: 0.1680 0.8320 0.0000  6 Se 3.50-3.51
Tb: 0.3334 0.6666 0.5000  6 Se 2.90-2.91
Tb: 0.6666 0.3334 0.5000  6 Se 2.90-2.91
Pa: 0.0000 0.0000 0.5000  6 Se 2.87
Se: 0.7354 0.7354 0.6919  1 Pa 2.87, 2 Tb 2.90
Se: 0.0646 0.3947 0.6923  1 Pa 2.87, 2 Tb 2.90-2.91
Se: 0.2646 0.2646 0.3081  1 Pa 2.87, 2 Tb 2.90
Se: 0.3947 0.0646 0.6923  1 Pa 2.87, 2 Tb 2.90-2.91
Se: 0.9354 0.6053 0.3077  1 Pa 2.87, 2 Tb 2.90-2.91
Se: 0.6053 0.9354 0.3077  1 Pa 2.87, 2 Tb 2.90-2.91

Properties
* DOS(E_F): 0.17 states/eV/atom
* raw total energy: -0.1999 hartree per atom
* space group: C2/m, No. 12

=====

[2]
Here is a geometry-optimized Ca3PmSm2S6 structure from Alexandria. Energies are from GGA-PBE.

Unit cell a=6.9209 b=6.9209 c=7.0400 alpha=99.46 beta=99.46 gamma=119.96
With the nearest neighbours (Å) after each atom.
Atoms (fractional coordinates):
Ca: 0.1664 0.8336 0.5000  6 S 2.83-2.84
Ca: 0.8336 0.1664 0.5000  6 S 2.83-2.84
Ca: 0.5000 0.5000 0.5000  6 S 2.83-2.84
Pm: 0.0000 0.0000 0.0000  6 S 2.86
Sm: 0.3333 0.6667 0.0000  6 S 2.85
Sm: 0.6667 0.3333 0.0000  6 S 2.85
S: 0.9157 0.5811 0.7471  3 Ca 2.83-2.84, 2 Sm 2.85, 1 Pm 2.86
S: 0.7497 0.7497 0.2529  3 Ca 2.83, 2 Sm 2.85, 1 Pm 2.86
S: 0.0843 0.4189 0.2529  3 Ca 2.83-2.84, 2 Sm 2.85, 1 Pm 2.86
S: 0.5811 0.9157 0.7471  3 Ca 2.83-2.84, 2 Sm 2.85, 1 Pm 2.86
S: 0.2503 0.2503 0.7471  3 Ca 2.83, 2 Sm 2.85, 1 Pm 2.86
S: 0.4189 0.0843 0.2529  3 Ca 2.83-2.84, 2 Sm 2.85, 1 Pm 2.86

Properties
* DOS(E_F): 0.35 states/eV/atom
* raw total energy: -0.2135 hartree per atom
* space group: C2/m, No. 12

=====

[3]
Here is a geometry-optimized La4TbRh2 structure from Alexandria. Energies are from GGA-PBE.

Unit cell a=6.5712 b=8.2579 c=8.1841 alpha=114.89 beta=90.00 gamma=90.00
With the nearest neighbours (Å) after each atom.
Atoms (fractional coordinates):
La: 0.5041 0.4138 0.7853  4 La 3.19-3.55, 4 Rh 3.27-3.38
La: 0.2500 0.2717 0.3391  2 Rh 2.70-2.92
La: 0.7500 0.7283 0.6609  2 Rh 2.70-2.92
La: 0.9959 0.4138 0.7853  4 La 3.19-3.55, 4 Rh 3.27-3.38
La: 0.7500 0.0168 0.3745  2 Rh 2.70-2.77
La: 0.0041 0.5862 0.2147  4 La 3.19-3.55, 4 Rh 3.27-3.38
La: 0.4959 0.5862 0.2147  4 La 3.19-3.55, 4 Rh 3.27-3.38
La: 0.2500 0.9832 0.6255  2 Rh 2.70-2.77
Tb: 0.2500 0.8462 0.9732  2 Rh 2.81-2.96
Tb: 0.7500 0.1538 0.0268  2 Rh 2.81-2.96
Rh: 0.2500 0.2108 0.9885  2 La 2.70-2.77, 1 Tb 2.96
Rh: 0.7500 0.7892 0.0115  2 La 2.70-2.77, 1 Tb 2.96
Rh: 0.7500 0.3538 0.4018  2 La 2.70-2.92, 1 Tb 2.81
Rh: 0.2500 0.6462 0.5982  2 La 2.70-2.92, 1 Tb 2.81

Properties
* DOS(E_F): 1.09 states/eV/atom
* raw total energy: -0.2203 hartree per atom
* space group: P2_1/m, No. 11

=====

[4]
Here is a geometry-optimized DyY3Te6 structure from Alexandria. Energies are from GGA-PBE.

Unit cell a=9.0249 b=9.0249 c=9.0249 alpha=90.49 beta=90.49 gamma=90.49
With the nearest neighbours (Å) after each atom.
Atoms (fractional coordinates):
Dy: 0.0000 0.0000 0.0000  6 Te 3.07
Dy: 0.5000 0.5000 0.5000  6 Te 3.03
Y: 0.4250 0.9180 0.7572  6 Te 3.04-3.19
Y: 0.9180 0.7572 0.4250  6 Te 3.04-3.19
Y: 0.2428 0.5750 0.0820  6 Te 3.04-3.19
Y: 0.7572 0.4250 0.9180  6 Te 3.04-3.19
Y: 0.0820 0.2428 0.5750  6 Te 3.04-3.19
Y: 0.5750 0.0820 0.2428  6 Te 3.04-3.19
Te: 0.3155 0.9132 0.0908  1 Dy 3.07, 3 Y 3.09-3.18
Te: 0.0868 0.9092 0.6845  1 Dy 3.07, 3 Y 3.09-3.18
Te: 0.5901 0.8211 0.4613  1 Dy 3.03, 3 Y 3.04-3.19
Te: 0.9092 0.6845 0.0868  1 Dy 3.07, 3 Y 3.09-3.18
Te: 0.4613 0.5901 0.8211  1 Dy 3.03, 3 Y 3.04-3.19
Te: 0.1789 0.5387 0.4099  1 Dy 3.03, 3 Y 3.04-3.19
Te: 0.8211 0.4613 0.5901  1 Dy 3.03, 3 Y 3.04-3.19
Te: 0.5387 0.4099 0.1789  1 Dy 3.03, 3 Y 3.04-3.19
Te: 0.0908 0.3155 0.9132  1 Dy 3.07, 3 Y 3.09-3.18
Te: 0.4099 0.1789 0.5387  1 Dy 3.03, 3 Y 3.04-3.19
Te: 0.9132 0.0908 0.3155  1 Dy 3.07, 3 Y 3.09-3.18
Te: 0.6845 0.0868 0.9092  1 Dy 3.07, 3 Y 3.09-3.18

Properties
* polymorph energy (0 for the lowest one): 0.36 eV/f.u.
* space group: R-3, No. 148

=====

[5]
Here is a geometry-optimized AcAlZnCu structure from Alexandria. Energies are from GGA-PBE.

Unit cell a=4.9727 b=4.9727 c=4.9727 alpha=60.00 beta=60.00 gamma=60.00
With the nearest neighbours (Å) after each atom.
Atoms (fractional coordinates):
Ac: 0.7500 0.7500 0.7500  4 Cu 3.05, 4 Zn 3.05
Zn: 0.0000 0.0000 0.0000  4 Ac 3.05, 4 Al 3.05
Cu: 0.5000 0.5000 0.5000  4 Ac 3.05, 4 Al 3.05
Al: 0.2500 0.2500 0.2500  4 Cu 3.05, 4 Zn 3.05

Properties
* DOS(E_F): 0.29 states/eV/atom
* raw total energy: -0.1272 hartree per atom
* space group: F-43m, No. 216

=====

[6]
Here is a geometry-optimized NaLi2MnBr6 structure from Alexandria. Energies are from GGA-PBE.

Unit cell a=7.1710 b=6.8162 c=7.7911 alpha=59.79 beta=59.25 gamma=58.11
With the nearest neighbours (Å) after each atom.
Atoms (fractional coordinates):
Na: 0.8110 0.8157 0.5557  6 Br 2.83-3.17
Li: 0.5123 0.4883 0.4481  4 Br 2.59-2.88
Li: 0.9867 0.0329 0.9789  5 Br 2.61-2.86
Mn: 0.3255 0.3320 0.0142  4 Br 2.47-2.49
Br: 0.5963 0.2313 0.2436  2 Li 2.59-2.61, 1 Mn 2.89
Br: 0.2573 0.9447 0.2369  1 Mn 2.47, 1 Li 2.77
Br: 0.9564 0.5619 0.2363  1 Mn 2.47
Br: 0.3746 0.7270 0.7735  1 Mn 2.48, 1 Li 2.71
Br: 0.7097 0.1313 0.7775  1 Mn 2.49, 1 Li 2.75
Br: 0.1319 0.3965 0.7506  2 Li 2.61-2.67, 1 Mn 2.78, 1 Na 2.83

Properties
* raw total energy: -0.1316 hartree per atom
* space group: P1, No. 1

=====

[7]
Here is a geometry-optimized Ba3Pm2UP6 structure from Alexandria. Energies are from GGA-PBE.

Unit cell a=7.3648 b=7.3648 c=7.7251 alpha=99.15 beta=99.15 gamma=119.97
With the nearest neighbours (Å) after each atom.
Atoms (fractional coordinates):
Ba: 0.1711 0.8289 0.5000  6 P 3.22-3.37
Ba: 0.8289 0.1711 0.5000  6 P 3.22-3.37
Ba: 0.5000 0.5000 0.5000  6 P 3.22-3.41
Pm: 0.3340 0.6660 0.0000  6 P 2.95
Pm: 0.6660 0.3340 0.0000  6 P 2.95
U: 0.0000 0.0000 0.0000  6 P 2.72
P: 0.9326 0.6226 0.7969  1 U 2.72, 2 Pm 2.95
P: 0.7598 0.7598 0.2050  1 U 2.72, 2 Pm 2.95
P: 0.0674 0.3774 0.2031  1 U 2.72, 2 Pm 2.95
P: 0.6226 0.9326 0.7969  1 U 2.72, 2 Pm 2.95
P: 0.2402 0.2402 0.7950  1 U 2.72, 2 Pm 2.95
P: 0.3774 0.0674 0.2031  1 U 2.72, 2 Pm 2.95

Properties
* raw total energy: -0.2233 hartree per atom
* space group: C2/m, No. 12

=====

[8]
Here is a geometry-optimized PmZrZnRh structure from Alexandria. Energies are from GGA-PBE.

Unit cell a=4.8813 b=4.8813 c=4.8813 alpha=60.00 beta=60.00 gamma=60.00
With the nearest neighbours (Å) after each atom.
Atoms (fractional coordinates):
Zn: 0.0000 0.0000 0.0000  4 Pm 2.99, 4 Zr 2.99
Rh: 0.5000 0.5000 0.5000  4 Zr 2.99, 4 Pm 2.99
Zr: 0.2500 0.2500 0.2500  4 Zn 2.99, 4 Rh 2.99
Pm: 0.7500 0.7500 0.7500  4 Rh 2.99, 4 Zn 2.99

Properties
* DOS(E_F): 0.75 states/eV/atom
* raw total energy: -0.2154 hartree per atom
* space group: F-43m, No. 216

=====

[9]
Here is a geometry-optimized AcMgCu structure from Alexandria. Energies are from GGA-PBE.

Unit cell a=3.5930 b=3.5930 c=6.5180 alpha=106.00 beta=106.00 gamma=90.00
With the nearest neighbours (Å) after each atom.
Atoms (fractional coordinates):
Ac: 0.0153 0.0153 0.0306  4 Cu 3.28, 5 Mg 3.38-3.65, 4 Ac 3.59
Mg: 0.2965 0.2965 0.5929  4 Cu 2.85
Cu: 0.6882 0.6882 0.3764  4 Mg 2.85

Properties
* polymorph energy (0 for the lowest one): 0.48 eV/f.u.
* DOS(E_F): 0.97 states/eV/atom
* space group: I4mm, No. 107

=====

[10]
Here is a geometry-optimized GaGePt structure from Alexandria. Energies are from GGA-PBE.

Unit cell a=3.5403 b=3.5403 c=4.7112 alpha=112.07 beta=112.07 gamma=90.00
With the nearest neighbours (Å) after each atom.
Atoms (fractional coordinates):
Ge: 0.2878 0.2878 0.5756  5 Ga 2.60-2.86, 5 Pt 2.71-2.81
Ga: 0.6137 0.6137 0.2274  5 Ge 2.60-2.86, 5 Pt 2.67-2.83
Pt: 0.9485 0.9485 0.8970  5 Ga 2.67-2.83, 5 Ge 2.71-2.81

Properties
* polymorph energy (0 for the lowest one): 0.87 eV/f.u.
* DOS(E_F): 0.39 states/eV/atom
* space group: I4mm, No. 107

=====

[11]
Here is a geometry-optimized BaAl2Ga4Ag structure from Alexandria. Energies are from GGA-PBE.

Unit cell a=4.6650 b=4.6650 c=9.8157 alpha=76.25 beta=76.25 gamma=60.00
With the nearest neighbours (Å) after each atom.
Atoms (fractional coordinates):
Ba: 0.0000 0.0000 0.0000  8 Ga 3.39-3.77
Al: 0.7643 0.7643 0.7072  7 Ga 2.79-2.91
Al: 0.2357 0.2357 0.2928  7 Ga 2.79-2.91
Ga: 0.4059 0.4059 0.7823  1 Ag 2.66, 3 Al 2.79
Ga: 0.8669 0.8669 0.3994  3 Ag 2.86, 4 Al 2.87-2.91, 3 Ga 3.19
Ga: 0.1331 0.1331 0.6006  3 Ag 2.86, 4 Al 2.87-2.91, 3 Ga 3.19
Ga: 0.5941 0.5941 0.2177  1 Ag 2.66, 3 Al 2.79
Ag: 0.5000 0.5000 0.5000  8 Ga 2.66-2.86

Properties
* DOS(E_F): 0.25 states/eV/atom
* raw total energy: -0.1170 hartree per atom
* space group: R-3m, No. 166